# CoCuAg2

An optimized crystal structure of CoCuAg2 (GGA-PBE, Alexandria).

abc: 4.3977 4.3977 4.3977
angles: 60.00 60.00 60.00
Fractional positions:
1 Co 0.0000 0.0000 0.0000
2 Cu 0.2500 0.2500 0.2500
3 Ag 0.5000 0.5000 0.5000
4 Ag 0.7500 0.7500 0.7500

Computed properties:
E ... -15.24 eV/f.u.
SG ... No. 216
Energy above the most stable polymorph in this dataset ... 0.1747 eV per atom
Formation enthalpy at 0 K ... 0.42 eV per atom

***

# CoCuAg

An optimized crystal structure of CoCuAg (GGA-PBE, Alexandria).

abc: 2.6848 2.6848 6.6323
angles: 90.00 90.00 120.00
Fractional positions:
1 Co 0.0000 0.0000 0.0000
2 Cu 0.6667 0.3333 0.3009
3 Ag 0.3333 0.6667 0.6512

Computed properties:
E ... -13.15 eV/f.u.
SG ... No. 156
Energy above the most stable polymorph in this dataset ... 0.0149 eV per atom
Formation enthalpy at 0 K ... 0.30 eV per atom

***

# CoCuAg2

An optimized crystal structure of CoCuAg2 (GGA-PBE, Alexandria).

abc: 9.0908 9.0908 9.0908
angles: 17.54 17.54 17.54
Fractional positions:
1 Co 0.0000 0.0000 0.0000
2 Cu 0.5000 0.5000 0.5000
3 Ag 0.2498 0.2498 0.2498
4 Ag 0.7502 0.7502 0.7502

Computed properties:
E ... -15.61 eV/f.u.
SG ... No. 166
Energy above the most stable polymorph in this dataset ... 0.0839 eV per atom
Formation enthalpy at 0 K ... 0.32 eV per atom

***

# CoCuAg2

An optimized crystal structure of CoCuAg2 (GGA-PBE, Alexandria).

abc: 4.3838 4.3838 4.3838
angles: 60.00 60.00 60.00
Fractional positions:
1 Co 0.0000 0.0000 0.0000
2 Cu 0.5000 0.5000 0.5000
3 Ag 0.2500 0.2500 0.2500
4 Ag 0.7500 0.7500 0.7500

Computed properties:
E ... -15.32 eV/f.u.
SG ... No. 225
Energy above the most stable polymorph in this dataset ... 0.1564 eV per atom
Formation enthalpy at 0 K ... 0.40 eV per atom

***

# CoCuAg2

An optimized crystal structure of CoCuAg2 (GGA-PBE, Alexandria).

abc: 4.7358 4.7358 4.8828
angles: 99.13 99.13 33.58
Fractional positions:
1 Co 0.0000 0.0000 0.0000
2 Cu 0.5000 0.5000 0.5000
3 Ag 0.2504 0.2504 0.7509
4 Ag 0.7496 0.7496 0.2491

Computed properties:
E ... -15.52 eV/f.u.
SG ... No. 12
Energy above the most stable polymorph in this dataset ... 0.1060 eV per atom
Formation enthalpy at 0 K ... 0.35 eV per atom

***

# CoCuAg2

An optimized crystal structure of CoCuAg2 (GGA-PBE, Alexandria).

abc: 2.7506 3.8287 5.6424
angles: 90.00 90.00 90.00
Fractional positions:
1 Co 0.0000 0.0000 0.0000
2 Cu 0.0000 0.0000 0.5000
3 Ag 0.5000 0.5000 0.2488
4 Ag 0.5000 0.5000 0.7512

Computed properties:
E ... -15.55 eV/f.u.
SG ... No. 47
Energy above the most stable polymorph in this dataset ... 0.0973 eV per atom
Formation enthalpy at 0 K ... 0.34 eV per atom

***

# CoCu2Ag

An optimized crystal structure of CoCu2Ag (GGA-PBE, Alexandria).

abc: 4.5970 4.5970 4.6549
angles: 99.82 99.82 33.35
Fractional positions:
1 Co 0.0000 0.0000 0.0000
2 Cu 0.2570 0.2570 0.7735
3 Cu 0.5116 0.5116 0.5321
4 Ag 0.7554 0.7554 0.2704

Computed properties:
E ... -17.08 eV/f.u.
SG ... No. 8
Energy above the most stable polymorph in this dataset ... 0.0750 eV per atom
Formation enthalpy at 0 K ... 0.27 eV per atom

***

# Co2CuAg

An optimized crystal structure of Co2CuAg (GGA-PBE, Alexandria).

abc: 2.7167 2.7167 7.0969
angles: 90.00 90.00 90.00
Fractional positions:
1 Co 0.0000 0.0000 0.0000
2 Co 0.5000 0.5000 0.1953
3 Cu 0.0000 0.0000 0.4323
4 Ag 0.5000 0.5000 0.7122

Computed properties:
E ... -20.37 eV/f.u.
SG ... No. 99
Energy above the most stable polymorph in this dataset ... 0.0000 eV per atom
Formation enthalpy at 0 K ... 0.20 eV per atom

***

# CoCu2Ag

An optimized crystal structure of CoCu2Ag (GGA-PBE, Alexandria).

abc: 2.7325 4.4213 4.4658
angles: 90.00 90.00 90.00
Fractional positions:
1 Co 0.0000 0.0000 0.0000
2 Cu 0.0000 0.5000 0.5000
3 Cu 0.5000 0.5000 0.0000
4 Ag 0.5000 0.0000 0.5000

Computed properties:
E ... -16.83 eV/f.u.
SG ... No. 47
Energy above the most stable polymorph in this dataset ... 0.1377 eV per atom
Formation enthalpy at 0 K ... 0.33 eV per atom

***

# CoCuAg2

An optimized crystal structure of CoCuAg2 (GGA-PBE, Alexandria).

abc: 2.7778 2.7778 7.6591
angles: 90.00 90.00 90.00
Fractional positions:
1 Co 0.0000 0.0000 0.0000
2 Cu 0.5000 0.5000 0.2014
3 Ag 0.0000 0.0000 0.4542
4 Ag 0.5000 0.5000 0.7470

Computed properties:
E ... -15.94 eV/f.u.
SG ... No. 99
Energy above the most stable polymorph in this dataset ... 0.0000 eV per atom
Formation enthalpy at 0 K ... 0.24 eV per atom

***

# CoCuAg

An optimized crystal structure of CoCuAg (GGA-PBE, Alexandria).

abc: 4.8566 4.8566 4.8566
angles: 147.91 136.76 54.85
Fractional positions:
1 Co 0.0000 0.0000 0.0000
2 Cu 0.6392 0.6392 0.0000
3 Ag 0.3192 0.3192 0.0000

Computed properties:
E ... -12.96 eV/f.u.
SG ... No. 44
Energy above the most stable polymorph in this dataset ... 0.0753 eV per atom
Formation enthalpy at 0 K ... 0.36 eV per atom

***

# CoCuAg2

An optimized crystal structure of CoCuAg2 (GGA-PBE, Alexandria).

abc: 2.8245 4.5940 4.6681
angles: 90.00 90.00 90.00
Fractional positions:
1 Co 0.0000 0.0000 0.0000
2 Cu 0.5000 0.0000 0.5000
3 Ag 0.0000 0.5000 0.5000
4 Ag 0.5000 0.5000 0.0000

Computed properties:
E ... -15.35 eV/f.u.
SG ... No. 47
Energy above the most stable polymorph in this dataset ... 0.1479 eV per atom
Formation enthalpy at 0 K ... 0.39 eV per atom

***

# CoCu2Ag

An optimized crystal structure of CoCu2Ag (GGA-PBE, Alexandria).

abc: 4.5349 4.5349 4.7454
angles: 98.99 98.99 33.63
Fractional positions:
1 Co 0.0000 0.0000 0.0000
2 Cu 0.2564 0.2564 0.7715
3 Cu 0.7436 0.7436 0.2285
4 Ag 0.5000 0.5000 0.5000

Computed properties:
E ... -17.09 eV/f.u.
SG ... No. 12
Energy above the most stable polymorph in this dataset ... 0.0726 eV per atom
Formation enthalpy at 0 K ... 0.26 eV per atom

***

# Co2CuAg

An optimized crystal structure of Co2CuAg (GGA-PBE, Alexandria).

abc: 2.5970 4.4246 4.6263
angles: 90.00 95.37 90.00
Fractional positions:
1 Co 0.2103 0.0000 0.2681
2 Co 0.7897 0.0000 0.7319
3 Cu 0.0000 0.5000 0.5000
4 Ag 0.5000 0.5000 0.0000

Computed properties:
E ... -19.66 eV/f.u.
SG ... No. 10
Energy above the most stable polymorph in this dataset ... 0.1771 eV per atom
Formation enthalpy at 0 K ... 0.37 eV per atom

***

# Co2CuAg

An optimized crystal structure of Co2CuAg (GGA-PBE, Alexandria).

abc: 4.7475 4.7475 4.7475
angles: 135.28 135.28 65.10
Fractional positions:
1 Co 0.2500 0.7500 0.5000
2 Co 0.7500 0.2500 0.5000
3 Cu 0.0000 0.0000 0.0000
4 Ag 0.5000 0.5000 0.0000

Computed properties:
E ... -19.71 eV/f.u.
SG ... No. 139
Energy above the most stable polymorph in this dataset ... 0.1652 eV per atom
Formation enthalpy at 0 K ... 0.36 eV per atom

***

# CoCu2Ag

An optimized crystal structure of CoCu2Ag (GGA-PBE, Alexandria).

abc: 9.2841 9.2841 9.2841
angles: 157.48 157.48 32.06
Fractional positions:
1 Co 0.0000 0.0000 0.0000
2 Co 0.7500 0.2500 0.5000
3 Cu 0.1101 0.6250 0.9851
4 Cu 0.3750 0.3601 0.4851
5 Cu 0.6399 0.1250 0.0149
6 Cu 0.8750 0.8899 0.5149
7 Ag 0.2500 0.7500 0.5000
8 Ag 0.5000 0.5000 0.0000

Computed properties:
E ... -15.72 eV/f.u.
SG ... No. 122
Energy above the most stable polymorph in this dataset ... 0.4144 eV per atom
Formation enthalpy at 0 K ... 0.61 eV per atom

***

# Co2CuAg

An optimized crystal structure of Co2CuAg (GGA-PBE, Alexandria).

abc: 8.9295 8.9295 8.9295
angles: 16.85 16.85 16.85
Fractional positions:
1 Co 0.2443 0.2443 0.2443
2 Co 0.7557 0.7557 0.7557
3 Cu 0.5000 0.5000 0.5000
4 Ag 0.0000 0.0000 0.0000

Computed properties:
E ... -19.82 eV/f.u.
SG ... No. 166
Energy above the most stable polymorph in this dataset ... 0.1374 eV per atom
Formation enthalpy at 0 K ... 0.33 eV per atom

***

# CoCu2Ag

An optimized crystal structure of CoCu2Ag (GGA-PBE, Alexandria).

abc: 2.6739 2.6739 7.4276
angles: 90.00 90.00 90.00
Fractional positions:
1 Co 0.0000 0.0000 0.0000
2 Cu 0.0000 0.0000 0.4521
3 Cu 0.5000 0.5000 0.2236
4 Ag 0.5000 0.5000 0.7262

Computed properties:
E ... -17.27 eV/f.u.
SG ... No. 99
Energy above the most stable polymorph in this dataset ... 0.0285 eV per atom
Formation enthalpy at 0 K ... 0.22 eV per atom

***

# Co2CuAg

An optimized crystal structure of Co2CuAg (GGA-PBE, Alexandria).

abc: 4.6683 4.6683 4.5134
angles: 100.24 100.24 32.70
Fractional positions:
1 Co 0.2440 0.2440 0.2308
2 Co 0.7560 0.7560 0.7692
3 Cu 0.5000 0.5000 0.0000
4 Ag 0.0000 0.0000 0.5000

Computed properties:
E ... -19.85 eV/f.u.
SG ... No. 12
Energy above the most stable polymorph in this dataset ... 0.1295 eV per atom
Formation enthalpy at 0 K ... 0.33 eV per atom

***

# CoCu2Ag2

An optimized crystal structure of CoCu2Ag2 (GGA-PBE, Alexandria).

abc: 6.1719 6.1719 3.9469
angles: 90.00 90.00 90.00
Fractional positions:
1 Co 0.0000 0.0000 0.0000
2 Co 0.5000 0.5000 0.0000
3 Cu 0.1348 0.3652 0.0000
4 Cu 0.3652 0.8652 0.0000
5 Cu 0.6348 0.1348 0.0000
6 Cu 0.8652 0.6348 0.0000
7 Ag 0.1717 0.6717 0.5000
8 Ag 0.3283 0.1717 0.5000
9 Ag 0.6717 0.8283 0.5000
10 Ag 0.8283 0.3283 0.5000

Computed properties:
E ... -19.02 eV/f.u.
SG ... No. 127
Formation enthalpy at 0 K ... 0.40 eV per atom